First-principles (PBE) data for an optimized crystal structure of NiAgGeMo, as listed in the Open Quantum Materials Database.

Lattice parameters (Å, degrees): 4.376 4.376 4.376 60.00 60.00 60.00
Atoms (fractional coordinates):
1 Ni 0.750 0.750 0.750
2 Mo 0.250 0.250 0.250
3 Ge 0.000 0.000 0.000
4 Ag 0.500 0.500 0.500

Summary:
**Space group**: F-43m
**Volume**: 59 Å³ per cell
**Crystal system**: cubic
**Total magnetic moment**: 0.02 Bohr magnetons per cell
**Final energy**: -5.665 eV/atom
**Mass density**: 9.39 g cm⁻³